# RbMg14W | the Alexandria database | PBE-GGA | optimized geometry
# Energy of formation = 0.2486 eV per atom
data_RbMg14W
_cell_length_a 6.583
_cell_length_b 6.583
_cell_length_c 8.620
_cell_angle_alpha 90.00
_cell_angle_beta 90.00
_cell_angle_gamma 89.85
_space_group_name_H-M_alt 'P 1'
_space_group_IT_number 1
loop_
_space_group_symop_operation_xyz
'x,y,z'
loop_
_atom_site_label
_atom_site_type_symbol
_atom_site_fract_x
_atom_site_fract_y
_atom_site_fract_z
Mg1 Mg 0.875 0.125 0.000
Mg2 Mg 0.375 0.125 0.500
Mg3 Mg 0.875 0.625 0.500
Mg4 Mg 0.601 0.851 0.252
Mg5 Mg 0.375 0.125 0.000
Mg6 Mg 0.601 0.399 0.748
Mg7 Mg 0.149 0.851 0.252
Mg8 Mg 0.601 0.851 0.748
Mg9 Mg 0.601 0.399 0.252
Mg10 Mg 0.149 0.399 0.748
Mg11 Mg 0.875 0.625 0.000
Mg12 Mg 0.149 0.851 0.748
Mg13 Mg 0.375 0.625 0.000
Mg14 Mg 0.149 0.399 0.252
Rb1 Rb 0.875 0.125 0.500
W1 W 0.375 0.625 0.500

# Rb2MgW2 | the Alexandria database | PBE-GGA | optimized geometry
# Energy of formation = 1.0916 eV per atom
data_Rb2MgW2
_cell_length_a 3.606
_cell_length_b 3.606
_cell_length_c 13.563
_cell_angle_alpha 82.36
_cell_angle_beta 82.36
_cell_angle_gamma 90.00
_space_group_name_H-M_alt 'P 1'
_space_group_IT_number 1
loop_
_space_group_symop_operation_xyz
'x,y,z'
loop_
_atom_site_label
_atom_site_type_symbol
_atom_site_fract_x
_atom_site_fract_y
_atom_site_fract_z
W1 W 0.250 0.750 0.500
W2 W 0.750 0.250 0.500
Rb1 Rb 0.624 0.624 0.753
Rb2 Rb 0.376 0.376 0.247
Mg1 Mg 0.000 0.000 0.000

# RbMg14W | the Alexandria database | PBE-GGA | optimized geometry
# Energy of formation = 0.2875 eV per atom
data_RbMg14W
_cell_length_a 6.469
_cell_length_b 6.469
_cell_length_c 10.494
_cell_angle_alpha 90.00
_cell_angle_beta 90.00
_cell_angle_gamma 120.00
_space_group_name_H-M_alt 'P 1'
_space_group_IT_number 1
loop_
_space_group_symop_operation_xyz
'x,y,z'
loop_
_atom_site_label
_atom_site_type_symbol
_atom_site_fract_x
_atom_site_fract_y
_atom_site_fract_z
Mg1 Mg 0.989 0.495 0.500
Mg2 Mg 0.494 0.988 0.000
Mg3 Mg 0.494 0.506 0.000
Mg4 Mg 0.164 0.327 0.279
Mg5 Mg 0.164 0.327 0.721
Mg6 Mg 0.505 0.495 0.500
Mg7 Mg 0.667 0.333 0.238
Mg8 Mg 0.667 0.333 0.762
Mg9 Mg 0.673 0.836 0.721
Mg10 Mg 0.164 0.836 0.279
Mg11 Mg 0.012 0.506 0.000
Mg12 Mg 0.505 0.011 0.500
Mg13 Mg 0.164 0.836 0.721
Mg14 Mg 0.673 0.836 0.279
Rb1 Rb 0.000 0.000 0.000
W1 W 0.000 0.000 0.500

# RbMg2W | the Alexandria database | PBE-GGA | optimized geometry
# Energy of formation = 1.3175 eV per atom
data_RbMg2W
_cell_length_a 5.278
_cell_length_b 5.278
_cell_length_c 5.278
_cell_angle_alpha 60.00
_cell_angle_beta 60.00
_cell_angle_gamma 60.00
_space_group_name_H-M_alt 'P 1'
_space_group_IT_number 1
loop_
_space_group_symop_operation_xyz
'x,y,z'
loop_
_atom_site_label
_atom_site_type_symbol
_atom_site_fract_x
_atom_site_fract_y
_atom_site_fract_z
Mg1 Mg 0.750 0.750 0.750
Mg2 Mg 0.250 0.250 0.250
W1 W 0.500 0.500 0.500
Rb1 Rb 0.000 0.000 0.000

# RbMg3W | the Alexandria database | PBE-GGA | optimized geometry
# Energy of formation = 2.4415 eV per atom
data_RbMg3W
_cell_length_a 5.151
_cell_length_b 5.151
_cell_length_c 5.151
_cell_angle_alpha 90.00
_cell_angle_beta 90.00
_cell_angle_gamma 90.00
_space_group_name_H-M_alt 'P 1'
_space_group_IT_number 1
loop_
_space_group_symop_operation_xyz
'x,y,z'
loop_
_atom_site_label
_atom_site_type_symbol
_atom_site_fract_x
_atom_site_fract_y
_atom_site_fract_z
Rb1 Rb 0.000 0.000 0.000
Mg1 Mg 0.500 0.000 0.000
Mg2 Mg 0.000 0.500 0.000
Mg3 Mg 0.000 0.000 0.500
W1 W 0.500 0.500 0.500

# RbYMg2W | the Alexandria database | PBE-GGA | optimized geometry
# Energy of formation = 1.9553 eV per atom
data_RbYMg2W
_cell_length_a 5.228
_cell_length_b 5.103
_cell_length_c 5.228
_cell_angle_alpha 90.00
_cell_angle_beta 90.00
_cell_angle_gamma 90.00
_space_group_name_H-M_alt 'P 1'
_space_group_IT_number 1
loop_
_space_group_symop_operation_xyz
'x,y,z'
loop_
_atom_site_label
_atom_site_type_symbol
_atom_site_fract_x
_atom_site_fract_y
_atom_site_fract_z
Mg1 Mg 0.000 0.000 0.500
Mg2 Mg 0.500 0.000 0.000
Y1 Y 0.500 0.500 0.500
Rb1 Rb 0.000 0.000 0.000
W1 W 0.000 0.500 0.000

# RbYMg14 | the Alexandria database | PBE-GGA | optimized geometry
# Energy of formation = 0.1374 eV per atom
data_RbYMg14
_cell_length_a 6.682
_cell_length_b 6.682
_cell_length_c 10.716
_cell_angle_alpha 90.00
_cell_angle_beta 90.00
_cell_angle_gamma 121.02
_space_group_name_H-M_alt 'P 1'
_space_group_IT_number 1
loop_
_space_group_symop_operation_xyz
'x,y,z'
loop_
_atom_site_label
_atom_site_type_symbol
_atom_site_fract_x
_atom_site_fract_y
_atom_site_fract_z
Mg1 Mg 0.165 0.325 0.765
Mg2 Mg 0.158 0.842 0.761
Mg3 Mg 0.827 0.660 0.500
Mg4 Mg 0.165 0.325 0.235
Mg5 Mg 0.675 0.835 0.765
Mg6 Mg 0.829 0.661 0.000
Mg7 Mg 0.675 0.835 0.235
Mg8 Mg 0.829 0.171 0.000
Mg9 Mg 0.329 0.671 0.000
Mg10 Mg 0.340 0.173 0.500
Mg11 Mg 0.339 0.171 0.000
Mg12 Mg 0.670 0.330 0.747
Mg13 Mg 0.158 0.842 0.239
Mg14 Mg 0.670 0.330 0.253
Y1 Y 0.843 0.157 0.500
Rb1 Rb 0.329 0.671 0.500

# RbYMg3 | the Alexandria database | PBE-GGA | optimized geometry
# Energy of formation = 0.6442 eV per atom
data_RbYMg3
_cell_length_a 6.195
_cell_length_b 6.195
_cell_length_c 6.195
_cell_angle_alpha 90.00
_cell_angle_beta 90.00
_cell_angle_gamma 90.00
_space_group_name_H-M_alt 'P 1'
_space_group_IT_number 1
loop_
_space_group_symop_operation_xyz
'x,y,z'
loop_
_atom_site_label
_atom_site_type_symbol
_atom_site_fract_x
_atom_site_fract_y
_atom_site_fract_z
Y1 Y 0.000 0.000 0.000
Mg1 Mg 0.000 0.000 0.500
Mg2 Mg 0.500 0.000 0.000
Mg3 Mg 0.000 0.500 0.000
Rb1 Rb 0.500 0.500 0.500

# RbYMg14 | the Alexandria database | PBE-GGA | optimized geometry
# Energy of formation = 0.1075 eV per atom
data_RbYMg14
_cell_length_a 6.730
_cell_length_b 6.730
_cell_length_c 10.561
_cell_angle_alpha 90.00
_cell_angle_beta 90.00
_cell_angle_gamma 120.00
_space_group_name_H-M_alt 'P 1'
_space_group_IT_number 1
loop_
_space_group_symop_operation_xyz
'x,y,z'
loop_
_atom_site_label
_atom_site_type_symbol
_atom_site_fract_x
_atom_site_fract_y
_atom_site_fract_z
Mg1 Mg 0.495 0.990 0.500
Mg2 Mg 0.173 0.827 0.240
Mg3 Mg 0.495 0.505 0.500
Mg4 Mg 0.173 0.827 0.760
Mg5 Mg 0.653 0.827 0.240
Mg6 Mg 0.010 0.505 0.500
Mg7 Mg 0.653 0.827 0.760
Mg8 Mg 0.173 0.347 0.760
Mg9 Mg 0.667 0.333 0.750
Mg10 Mg 0.667 0.333 0.250
Mg11 Mg 0.173 0.347 0.240
Mg12 Mg 0.498 0.502 0.000
Mg13 Mg 0.004 0.502 0.000
Mg14 Mg 0.498 0.996 0.000
Y1 Y 0.000 0.000 0.000
Rb1 Rb 0.000 0.000 0.500

# RbYMg6 | the Alexandria database | PBE-GGA | optimized geometry
# Energy of formation = 0.1619 eV per atom
data_RbYMg6
_cell_length_a 7.075
_cell_length_b 7.075
_cell_length_c 4.723
_cell_angle_alpha 90.00
_cell_angle_beta 90.00
_cell_angle_gamma 89.93
_space_group_name_H-M_alt 'P 1'
_space_group_IT_number 1
loop_
_space_group_symop_operation_xyz
'x,y,z'
loop_
_atom_site_label
_atom_site_type_symbol
_atom_site_fract_x
_atom_site_fract_y
_atom_site_fract_z
Mg1 Mg 0.350 0.100 0.000
Mg2 Mg 0.350 0.650 0.000
Mg3 Mg 0.900 0.100 0.000
Mg4 Mg 0.126 0.375 0.500
Mg5 Mg 0.625 0.874 0.500
Mg6 Mg 0.900 0.650 0.000
Rb1 Rb 0.625 0.375 0.500
Y1 Y 0.125 0.875 0.500

> energy of formation of number 2 (Rb2MgW2)?

1.0916 eV per atom

> energy of formation of number 7 (RbYMg14)?

0.1374 eV per atom